Material: NbVRe2
Method: DFT, PBE
State: optimized geometry

Calculated values
As for the density of states at the Fermi level: 0.4503 states/eV per atom. The magnetization is 0.000 μB/f.u. The volume is 61.3 Å³/cell. The formation enthalpy at 0 K comes out at -106 kJ/mol of formula units.

```
data_NbVRe2
_chemical_formula_sum 'Nb1 V1 Re2'
_space_group_name_H-M_alt 'P 4/m m m'
_space_group_IT_number 123
_space_group_name_Hall '-P 4 2'
_cell_length_a 3.126
_cell_length_b 3.126
_cell_length_c 6.270
_cell_angle_alpha 90.00
_cell_angle_beta 90.00
_cell_angle_gamma 90.00
loop_
_atom_site_label
_atom_site_type_symbol
_atom_site_fract_x
_atom_site_fract_y
_atom_site_fract_z
Nb1 Nb 0.000 0.000 0.000
V1 V 0.000 0.000 0.500
Re1 Re 0.500 0.500 0.263
```

---

Material: NbV4Re
Method: DFT, PBE
State: optimized geometry

Calculated values
As for the density of states at the Fermi level: 0.4768 states/eV per atom. The magnetization is 0.000 μB/f.u. The volume is 347.2 Å³/cell. The formation enthalpy at 0 K comes out at -60 kJ/mol of formula units.

```
data_NbV4Re
_chemical_formula_sum 'Nb4 V16 Re4'
_space_group_name_H-M_alt 'F -4 3 m'
_space_group_IT_number 216
_space_group_name_Hall 'F -4 2 3'
_cell_length_a 7.028
_cell_length_b 7.028
_cell_length_c 7.028
_cell_angle_alpha 90.00
_cell_angle_beta 90.00
_cell_angle_gamma 90.00
loop_
_atom_site_label
_atom_site_type_symbol
_atom_site_fract_x
_atom_site_fract_y
_atom_site_fract_z
Nb1 Nb 0.000 0.000 0.000
V1 V 0.125 0.125 0.375
Re1 Re 0.250 0.250 0.750
```

---

Material: Nb3V8Re
Method: DFT, PBE
State: optimized geometry

Calculated values
As for the density of states at the Fermi level: 0.6083 states/eV per atom. The magnetization is 0.000 μB/f.u. The volume is 178.6 Å³/cell. The formation enthalpy at 0 K comes out at -98 kJ/mol of formula units.

```
data_Nb3V8Re
_chemical_formula_sum 'Nb3 V8 Re1'
_space_group_name_H-M_alt 'P 3 m 1'
_space_group_IT_number 156
_cell_length_a 5.0448
_cell_length_b 5.0448
_cell_length_c 8.1037
_cell_angle_alpha 90.00
_cell_angle_beta 90.00
_cell_angle_gamma 120.00
loop_
_space_group_symop_operation_xyz
'x,y,z'
'-y,x-y,z'
'-x+y,-x,z'
'-y,-x,z'
'-x+y,y,z'
'x,x-y,z'
loop_
_atom_site_label
_atom_site_type_symbol
_atom_site_fract_x
_atom_site_fract_y
_atom_site_fract_z
Nb1 Nb 0.0000 0.0000 0.0000
Nb2 Nb 0.0000 0.0000 0.3803
Nb3 Nb 0.3333 0.6667 0.8745
V1 V 0.0056 0.5028 0.1938
V2 V 0.3283 0.1642 0.6848
V3 V 0.6667 0.3333 0.4400
V4 V 0.6667 0.3333 0.9380
Re1 Re 0.3333 0.6667 0.4988
```

---

Material: NbVRe3
Method: DFT, PBE
State: optimized geometry

Calculated values
As for the density of states at the Fermi level: 0.4673 states/eV per atom. The magnetization is 0.000 μB/f.u. The volume is 88.7 Å³/cell. The formation enthalpy at 0 K comes out at 621 kJ/mol of formula units.

```
data_NbVRe3
_chemical_formula_sum 'Nb1 V1 Re3'
_space_group_name_H-M_alt 'P m -3 m'
_space_group_IT_number 221
_space_group_name_Hall '-P 4 2 3'
_cell_length_a 4.460
_cell_length_b 4.460
_cell_length_c 4.460
_cell_angle_alpha 90.00
_cell_angle_beta 90.00
_cell_angle_gamma 90.00
loop_
_atom_site_label
_atom_site_type_symbol
_atom_site_fract_x
_atom_site_fract_y
_atom_site_fract_z
Nb1 Nb 0.000 0.000 0.000
V1 V 0.500 0.500 0.500
Re1 Re 0.000 0.500 0.500
```

---

Material: Nb3VRe
Method: DFT, PBE
State: optimized geometry

Calculated values
As for the density of states at the Fermi level: 1.3761 states/eV per atom. The magnetization is 0.001 μB/f.u. The volume is 95.0 Å³/cell. The formation enthalpy at 0 K comes out at 612 kJ/mol of formula units.

```
data_Nb3VRe
_chemical_formula_sum 'Nb3 V1 Re1'
_space_group_name_H-M_alt 'P m -3 m'
_space_group_IT_number 221
_space_group_name_Hall '-P 4 2 3'
_cell_length_a 4.564
_cell_length_b 4.564
_cell_length_c 4.564
_cell_angle_alpha 90.00
_cell_angle_beta 90.00
_cell_angle_gamma 90.00
loop_
_atom_site_label
_atom_site_type_symbol
_atom_site_fract_x
_atom_site_fract_y
_atom_site_fract_z
Nb1 Nb 0.000 0.000 0.500
V1 V 0.000 0.000 0.000
Re1 Re 0.500 0.500 0.500
```

---

Material: NbV4Re2
Method: DFT, PBE
State: optimized geometry

Calculated values
As for the density of states at the Fermi level: 1.1913 states/eV per atom. The magnetization is 0.018 μB/f.u. The volume is 251.4 Å³/cell. The formation enthalpy at 0 K comes out at 869 kJ/mol of formula units.

```
data_NbV4Re2
_chemical_formula_sum 'Nb2 V8 Re4'
_space_group_name_H-M_alt 'I 4/m m m'
_space_group_IT_number 139
_space_group_name_Hall '-I 4 2'
_cell_length_a 4.480
_cell_length_b 4.480
_cell_length_c 12.527
_cell_angle_alpha 90.00
_cell_angle_beta 90.00
_cell_angle_gamma 90.00
loop_
_atom_site_label
_atom_site_type_symbol
_atom_site_fract_x
_atom_site_fract_y
_atom_site_fract_z
Nb1 Nb 0.000 0.000 0.000
V1 V 0.000 0.000 0.202
V2 V 0.000 0.500 0.000
Re1 Re 0.000 0.000 0.383
```

---

Material: NbV6Re
Method: DFT, PBE
State: optimized geometry

Calculated values
As for the density of states at the Fermi level: 1.5366 states/eV per atom. The magnetization is 0.000 μB/f.u. The volume is 113.9 Å³/cell. The formation enthalpy at 0 K comes out at -77 kJ/mol of formula units.

```
data_NbV6Re
_chemical_formula_sum 'Nb1 V6 Re1'
_space_group_name_H-M_alt 'P 1'
_space_group_IT_number 1
_cell_length_a 5.055
_cell_length_b 5.111
_cell_length_c 5.272
_cell_angle_alpha 99.31
_cell_angle_beta 100.02
_cell_angle_gamma 117.81
loop_
_space_group_symop_operation_xyz
'x,y,z'
loop_
_atom_site_label
_atom_site_type_symbol
_atom_site_fract_x
_atom_site_fract_y
_atom_site_fract_z
Nb1 Nb 0.000 0.000 0.000
V1 V 0.493 0.504 0.998
V2 V 0.495 0.002 0.740
V3 V 0.503 0.999 0.253
V4 V 0.504 0.500 0.496
V5 V 0.997 0.006 0.497
V6 V 0.999 0.505 0.251
Re1 Re 0.999 0.498 0.743
```

---

Material: Nb2VRe
Method: DFT, PBE
State: optimized geometry

Calculated values
As for the density of states at the Fermi level: 1.0216 states/eV per atom. The magnetization is 0.000 μB/f.u. The volume is 259.4 Å³/cell. The formation enthalpy at 0 K comes out at -73 kJ/mol of formula units.

```
data_Nb2VRe
_chemical_formula_sum 'Nb8 V4 Re4'
_space_group_name_H-M_alt 'C m c m'
_space_group_IT_number 63
_space_group_name_Hall '-C 2c 2'
_cell_length_a 6.394
_cell_length_b 8.986
_cell_length_c 4.514
_cell_angle_alpha 90.00
_cell_angle_beta 90.00
_cell_angle_gamma 90.00
loop_
_atom_site_label
_atom_site_type_symbol
_atom_site_fract_x
_atom_site_fract_y
_atom_site_fract_z
Nb1 Nb 0.249 0.125 0.250
V1 V 0.000 0.122 0.750
Re1 Re 0.000 0.373 0.250
```

---

Material: Nb4VRe
Method: DFT, PBE
State: optimized geometry

Calculated values
As for the density of states at the Fermi level: 1.1901 states/eV per atom. The magnetization is 0.000 μB/f.u. The volume is 101.3 Å³/cell. The formation enthalpy at 0 K comes out at -63 kJ/mol of formula units.

```
data_Nb4VRe
_chemical_formula_sum 'Nb4 V1 Re1'
_space_group_name_H-M_alt 'P 4/m m m'
_space_group_IT_number 123
_space_group_name_Hall '-P 4 2'
_cell_length_a 3.218
_cell_length_b 3.218
_cell_length_c 9.788
_cell_angle_alpha 90.00
_cell_angle_beta 90.00
_cell_angle_gamma 90.00
loop_
_atom_site_label
_atom_site_type_symbol
_atom_site_fract_x
_atom_site_fract_y
_atom_site_fract_z
Nb1 Nb 0.000 0.000 0.159
Nb2 Nb 0.500 0.500 0.337
V1 V 0.500 0.500 0.000
Re1 Re 0.000 0.000 0.500
```

---

Material: Nb2VRe
Method: DFT, PBE
State: optimized geometry

Calculated values
As for the density of states at the Fermi level: 0.9522 states/eV per atom. The magnetization is 0.001 μB/f.u. The volume is 279.7 Å³/cell. The formation enthalpy at 0 K comes out at 229 kJ/mol of formula units.

```
data_Nb2VRe
_chemical_formula_sum 'Nb8 V4 Re4'
_space_group_name_H-M_alt 'I -4 2 d'
_space_group_IT_number 122
_space_group_name_Hall 'I -4 2bw'
_cell_length_a 7.168
_cell_length_b 7.168
_cell_length_c 5.445
_cell_angle_alpha 90.00
_cell_angle_beta 90.00
_cell_angle_gamma 90.00
loop_
_atom_site_label
_atom_site_type_symbol
_atom_site_fract_x
_atom_site_fract_y
_atom_site_fract_z
Nb1 Nb 0.244 0.250 0.125
V1 V 0.000 0.000 0.500
Re1 Re 0.000 0.000 0.000
```

---

Material: Nb4VRe2
Method: DFT, PBE
State: optimized geometry

Calculated values
As for the density of states at the Fermi level: 0.7652 states/eV per atom. The magnetization is 0.000 μB/f.u. The volume is 251.6 Å³/cell. The formation enthalpy at 0 K comes out at 61 kJ/mol of formula units.

```
data_Nb4VRe2
_chemical_formula_sum 'Nb8 V2 Re4'
_space_group_name_H-M_alt 'I 4/m m m'
_space_group_IT_number 139
_space_group_name_Hall '-I 4 2'
_cell_length_a 6.325
_cell_length_b 6.325
_cell_length_c 6.291
_cell_angle_alpha 90.00
_cell_angle_beta 90.00
_cell_angle_gamma 90.00
loop_
_atom_site_label
_atom_site_type_symbol
_atom_site_fract_x
_atom_site_fract_y
_atom_site_fract_z
Nb1 Nb 0.250 0.250 0.250
V1 V 0.000 0.000 0.000
Re1 Re 0.000 0.500 0.000
```

---

Material: Nb14VRe
Method: DFT, PBE
State: optimized geometry

Calculated values
As for the density of states at the Fermi level: 1.4829 states/eV per atom. The magnetization is 0.002 μB/f.u. The volume is 283.5 Å³/cell. The formation enthalpy at 0 K comes out at -82 kJ/mol of formula units.

```
data_Nb14VRe
_chemical_formula_sum 'Nb14 V1 Re1'
_space_group_name_H-M_alt 'P 4/m m m'
_space_group_IT_number 123
_space_group_name_Hall '-P 4 2'
_cell_length_a 6.564
_cell_length_b 6.564
_cell_length_c 6.581
_cell_angle_alpha 90.00
_cell_angle_beta 90.00
_cell_angle_gamma 90.00
loop_
_atom_site_label
_atom_site_type_symbol
_atom_site_fract_x
_atom_site_fract_y
_atom_site_fract_z
Nb1 Nb 0.000 0.000 0.000
Nb2 Nb 0.000 0.500 0.000
Nb3 Nb 0.000 0.500 0.500
Nb4 Nb 0.249 0.249 0.256
Nb5 Nb 0.500 0.500 0.000
V1 V 0.500 0.500 0.500
Re1 Re 0.000 0.000 0.500
```

---

The lowest V belongs to which entry? NbVRe2